The following is a DFT calculation (PBE) of an optimized crystal structure of Pr2Nd2Bi3.

## Properties
Calculated volume (Å³ per cell): 922.1
VASP energy (eV/atom): -5.23
E_form (eV/atom): -0.8390

Cell: 9.733 9.733 9.733 Å, 90.00 90.00 90.00°
Space group I2_13 (No. 199)
One atom of each set of equivalent atoms:
Pr (0.178, 0.178, 0.178) (multiplicity 8)
Nd (0.071, 0.429, 0.571) (multiplicity 8)
Bi (0.000, 0.250, 0.873) (multiplicity 12)



The following is a DFT calculation (PBE) of an optimized crystal structure of Pr3NdBi2.

## Properties
Calculated volume (Å³ per cell): 200.7
VASP energy (eV/atom): -5.14
E_form (eV/atom): -0.6610
Energy relative to the lowest polymorph listed for this composition (eV per formula unit): 0.000

Cell: 4.696 4.696 9.103 Å, 90.00 90.00 90.00°
Space group P-4m2 (No. 115)
One atom of each set of equivalent atoms:
Pr (0.000, 0.000, 0.000) (multiplicity 1)
Pr (0.000, 0.500, 0.646) (multiplicity 2)
Nd (0.500, 0.500, 0.000) (multiplicity 1)
Bi (0.000, 0.500, 0.280) (multiplicity 2)



The following is a DFT calculation (PBE) of an optimized crystal structure of Pr3NdBi3.

## Properties
Calculated volume (Å³ per cell): 473.0
VASP energy (eV/atom): -5.01
E_form (eV/atom): -0.6126
Energy relative to the lowest polymorph listed for this composition (eV per formula unit): 1.608

Cell: 9.5027 9.5027 6.0482 Å, 90.00 90.00 120.00°
Space group P6_3/m (No. 176)
One atom of each set of equivalent atoms:
Pr (0.0113, 0.2485, 0.2500) (multiplicity 6)
Nd (0.3333, 0.6667, 0.2500) (multiplicity 2)
Bi (0.0609, 0.4357, 0.7500) (multiplicity 6)



The following is a DFT calculation (PBE) of an optimized crystal structure of PrNd3Bi4.

## Properties
Calculated volume (Å³ per cell): 278.0
VASP energy (eV/atom): -5.28
E_form (eV/atom): -0.9584
Energy relative to the lowest polymorph listed for this composition (eV per formula unit): 0.000

Cell: 6.526 6.526 6.526 Å, 90.00 90.00 90.00°
Space group Pm-3m (No. 221)
One atom of each set of equivalent atoms:
Pr (0.000, 0.000, 0.000) (multiplicity 1)
Nd (0.000, 0.500, 0.500) (multiplicity 3)
Bi (0.000, 0.000, 0.500) (multiplicity 3)
Bi (0.500, 0.500, 0.500) (multiplicity 1)



The following is a DFT calculation (PBE) of an optimized crystal structure of PrNdBi6.

## Properties
Calculated volume (Å³ per cell): 262.0
VASP energy (eV/atom): -4.55
E_form (eV/atom): -0.4489

Cell: 4.668 4.684 12.151 Å, 90.00 99.57 90.00°
Space group Pm (No. 6)
One atom of each set of equivalent atoms:
Pr (0.000, 0.000, 0.000) (multiplicity 1)
Nd (0.140, 0.500, 0.281) (multiplicity 1)
Bi (0.210, 0.000, 0.498) (multiplicity 1)
Bi (0.409, 0.000, 0.779) (multiplicity 1)
Bi (0.514, 0.500, 0.035) (multiplicity 1)
Bi (0.627, 0.000, 0.247) (multiplicity 1)
Bi (0.731, 0.500, 0.500) (multiplicity 1)
Bi (0.931, 0.500, 0.782) (multiplicity 1)



The following is a DFT calculation (PBE) of an optimized crystal structure of PrNd2Bi2.

## Properties
Calculated volume (Å³ per cell): 351.0
VASP energy (eV/atom): -4.92
E_form (eV/atom): -0.5038

Cell: 7.509 6.283 7.776 Å, 90.00 106.89 90.00°
Space group C2/m (No. 12)
One atom of each set of equivalent atoms:
Pr (0.000, 0.000, 0.000) (multiplicity 2)
Nd (0.000, 0.252, 0.500) (multiplicity 4)
Bi (0.164, 0.500, 0.203) (multiplicity 4)



The following is a DFT calculation (PBE) of an optimized crystal structure of Pr4NdBi2.

## Properties
Calculated volume (Å³ per cell): 532.7
VASP energy (eV/atom): -4.37
E_form (eV/atom): 0.1497

Cell: 5.544 5.544 17.335 Å, 90.00 90.00 90.00°
Space group I4/mmm (No. 139)
One atom of each set of equivalent atoms:
Pr (0.000, 0.000, 0.182) (multiplicity 4)
Pr (0.000, 0.500, 0.000) (multiplicity 4)
Nd (0.000, 0.000, 0.000) (multiplicity 2)
Bi (0.000, 0.000, 0.366) (multiplicity 4)



The following is a DFT calculation (PBE) of an optimized crystal structure of PrNd3Bi3.

## Properties
Calculated volume (Å³ per cell): 466.6
VASP energy (eV/atom): -5.01
E_form (eV/atom): -0.6246
Energy relative to the lowest polymorph listed for this composition (eV per formula unit): 1.484

Cell: 9.4716 9.4716 6.0057 Å, 90.00 90.00 120.00°
Space group P6_3/m (No. 176)
One atom of each set of equivalent atoms:
Pr (0.3333, 0.6667, 0.2500) (multiplicity 2)
Nd (0.0116, 0.2478, 0.2500) (multiplicity 6)
Bi (0.0625, 0.4357, 0.7500) (multiplicity 6)



The following is a DFT calculation (PBE) of an optimized crystal structure of Pr2NdBi3.

## Properties
Calculated volume (Å³ per cell): 421.2
VASP energy (eV/atom): -5.29
E_form (eV/atom): -0.9573

Cell: 4.634 6.543 13.892 Å, 90.00 90.00 90.00°
Space group Immm (No. 71)
One atom of each set of equivalent atoms:
Pr (0.000, 0.000, 0.167) (multiplicity 4)
Nd (0.000, 0.000, 0.500) (multiplicity 2)
Bi (0.000, 0.500, 0.166) (multiplicity 4)
Bi (0.000, 0.500, 0.500) (multiplicity 2)



The following is a DFT calculation (PBE) of an optimized crystal structure of Pr8Nd5Bi.

## Properties
Calculated volume (Å³ per cell): 1018.6
VASP energy (eV/atom): -4.69
E_form (eV/atom): 0.0260

Cell: 10.591 11.083 10.077 Å, 90.00 120.55 90.00°
Space group C2 (No. 5)
One atom of each set of equivalent atoms:
Pr (0.003, 0.000, 0.168) (multiplicity 4)
Pr (0.148, 0.317, 0.807) (multiplicity 4)
Pr (0.152, 0.779, 0.468) (multiplicity 4)
Pr (0.171, 0.479, 0.171) (multiplicity 4)
Nd (0.000, 0.091, 0.500) (multiplicity 2)
Nd (0.147, 0.492, 0.503) (multiplicity 4)
Nd (0.176, 0.640, 0.832) (multiplicity 4)
Bi (0.000, 0.739, 0.000) (multiplicity 2)



The following is a DFT calculation (PBE) of an optimized crystal structure of Pr3Nd4Bi4.

## Properties
Calculated volume (Å³ per cell): 743.2
VASP energy (eV/atom): -5.08
E_form (eV/atom): -0.6331

Cell: 4.248 9.472 18.470 Å, 90.00 90.00 90.00°
Space group Immm (No. 71)
One atom of each set of equivalent atoms:
Pr (0.000, 0.000, 0.000) (multiplicity 2)
Pr (0.000, 0.500, 0.098) (multiplicity 4)
Nd (0.000, 0.322, 0.332) (multiplicity 8)
Bi (0.000, 0.000, 0.268) (multiplicity 4)
Bi (0.000, 0.213, 0.500) (multiplicity 4)



The following is a DFT calculation (PBE) of an optimized crystal structure of PrNdBi2.

## Properties
Calculated volume (Å³ per cell): 127.3
VASP energy (eV/atom): -5.03
E_form (eV/atom): -0.7005
Energy relative to the lowest polymorph listed for this composition (eV per formula unit): 1.024

Cell: 3.892 3.892 8.404 Å, 90.00 90.00 90.00°
Space group P4/mmm (No. 123)
One atom of each set of equivalent atoms:
Pr (0.000, 0.000, 0.000) (multiplicity 1)
Nd (0.000, 0.000, 0.500) (multiplicity 1)
Bi (0.500, 0.500, 0.252) (multiplicity 2)